[1]
VASP calculation (PBE-GGA) on a relaxed structure of SmAlZnPd2.

Geometry as POSCAR:
```
SmAlZnPd2
1.0
2.672 -6.536 0.000
2.672 6.536 0.000
0.000 0.000 5.583
Sm Al Zn Pd
2 2 2 4
Direct
0.250 0.750 0.772
0.750 0.250 0.228
0.250 0.250 0.500
0.750 0.750 0.500
0.000 0.000 0.000
0.500 0.500 0.000
0.143 0.857 0.301
0.357 0.643 0.301
0.643 0.357 0.699
0.857 0.143 0.699
```

Results
Magnetic moment: 0.00 μB/f.u.
Space group: Cmme (67)
DOS(E_F): 0.5038 states/eV/atom

***

[2]
VASP calculation (PBE-GGA) on a relaxed structure of SmAlZnPd.

Geometry as POSCAR:
```
SmAlZnPd
1.0
6.728 0.000 0.000
0.000 6.728 0.000
0.000 0.000 6.728
Sm Al Zn Pd
4 4 4 4
Direct
0.000 0.000 0.000
0.000 0.500 0.500
0.500 0.000 0.500
0.500 0.500 0.000
0.000 0.000 0.500
0.000 0.500 0.000
0.500 0.000 0.000
0.500 0.500 0.500
0.250 0.250 0.250
0.250 0.750 0.750
0.750 0.250 0.750
0.750 0.750 0.250
0.250 0.250 0.750
0.250 0.750 0.250
0.750 0.250 0.250
0.750 0.750 0.750
```

Results
Magnetic moment: 0.00 μB/f.u.
Space group: F-43m (216)
DOS(E_F): 0.5040 states/eV/atom

***

[3]
VASP calculation (PBE-GGA) on a relaxed structure of Sm2Al3ZnPd4.

Geometry as POSCAR:
```
Sm2Al3ZnPd4
1.0
4.316 0.000 0.000
0.000 4.316 0.000
0.000 0.000 10.259
Sm Al Zn Pd
2 3 1 4
Direct
0.000 0.500 0.248
0.500 0.000 0.752
0.000 0.500 0.875
0.500 0.000 0.125
0.500 0.500 0.500
0.000 0.000 0.500
0.000 0.000 0.000
0.000 0.500 0.635
0.500 0.000 0.365
0.500 0.500 0.000
```

Results
Magnetic moment: 0.00 μB/f.u.
Space group: P-4m2 (115)
DOS(E_F): 0.5809 states/eV/atom

***

[4]
VASP calculation (PBE-GGA) on a relaxed structure of Sm2Al3Zn4Pd.

Geometry as POSCAR:
```
Sm2Al3Zn4Pd
1.0
4.194 0.000 0.000
0.000 4.194 0.000
0.000 0.000 10.841
Sm Al Zn Pd
2 3 4 1
Direct
0.000 0.500 0.248
0.500 0.000 0.752
0.000 0.500 0.866
0.500 0.000 0.134
0.500 0.500 0.500
0.000 0.000 0.000
0.000 0.500 0.639
0.500 0.000 0.361
0.500 0.500 0.000
0.000 0.000 0.500
```

Results
Magnetic moment: 0.00 μB/f.u.
Space group: P-4m2 (115)
DOS(E_F): 0.5121 states/eV/atom

***

[5]
VASP calculation (PBE-GGA) on a relaxed structure of Sm2AlZnPd6.

Geometry as POSCAR:
```
Sm2AlZnPd6
1.0
4.922 -2.843 0.000
4.922 2.843 0.000
-3.284 0.000 7.459
Sm Al Zn Pd
2 1 1 6
Direct
0.209 0.209 0.126
0.791 0.791 0.874
0.000 0.000 0.500
0.500 0.500 0.000
0.248 0.248 0.745
0.248 0.746 0.744
0.254 0.752 0.256
0.746 0.248 0.744
0.752 0.254 0.256
0.752 0.752 0.255
```

Results
Magnetic moment: 0.00 μB/f.u.
Space group: C2/m (12)
DOS(E_F): 0.2320 states/eV/atom

***

[6]
VASP calculation (PBE-GGA) on a relaxed structure of Sm2AlZn4Pd3.

Geometry as POSCAR:
```
Sm2AlZn4Pd3
1.0
3.948 0.000 0.000
0.000 3.948 0.000
0.000 0.000 12.092
Sm Al Zn Pd
2 1 4 3
Direct
0.000 0.500 0.247
0.500 0.000 0.753
0.000 0.000 0.500
0.000 0.000 0.000
0.000 0.500 0.641
0.500 0.000 0.359
0.500 0.500 0.000
0.000 0.500 0.855
0.500 0.000 0.145
0.500 0.500 0.500
```

Results
Magnetic moment: 0.00 μB/f.u.
Space group: P-4m2 (115)
DOS(E_F): 0.5006 states/eV/atom

***

[7]
VASP calculation (PBE-GGA) on a relaxed structure of Sm2ZrAl4Pd3.

Geometry as POSCAR:
```
Sm2ZrAl4Pd3
1.0
4.247 0.000 0.000
0.000 4.247 0.000
0.000 0.000 11.232
Sm Zr Al Pd
2 1 4 3
Direct
0.000 0.500 0.242
0.500 0.000 0.758
0.000 0.000 0.500
0.000 0.000 0.000
0.000 0.500 0.658
0.500 0.000 0.342
0.500 0.500 0.000
0.000 0.500 0.877
0.500 0.000 0.123
0.500 0.500 0.500
```

Results
Magnetic moment: 0.00 μB/f.u.
Space group: P-4m2 (115)
DOS(E_F): 0.7277 states/eV/atom

***

[8]
VASP calculation (PBE-GGA) on a relaxed structure of Al2Sn2Pd.

Geometry as POSCAR:
```
Al2Sn2Pd
1.0
6.649 0.000 0.000
0.000 6.649 0.000
0.000 0.000 4.762
Al Sn Pd
4 4 2
Direct
0.143 0.357 0.000
0.357 0.857 0.000
0.643 0.143 0.000
0.857 0.643 0.000
0.172 0.672 0.500
0.328 0.172 0.500
0.672 0.828 0.500
0.828 0.328 0.500
0.000 0.000 0.000
0.500 0.500 0.000
```

Results
Magnetic moment: 0.00 μB/f.u.
Space group: P4/mbm (127)
DOS(E_F): 0.3828 states/eV/atom

***

[9]
VASP calculation (PBE-GGA) on a relaxed structure of AlSn2Pd8.

Geometry as POSCAR:
```
AlSn2Pd8
1.0
-2.273 2.963 6.779
2.273 -2.963 6.779
2.273 2.963 -6.779
Al Sn Pd
1 2 8
Direct
0.000 0.000 0.000
0.320 0.320 0.000
0.680 0.680 0.000
0.115 0.857 0.258
0.176 0.676 0.500
0.251 0.500 0.751
0.401 0.143 0.258
0.599 0.857 0.742
0.749 0.500 0.249
0.824 0.324 0.500
0.885 0.143 0.742
```

Results
Magnetic moment: 0.00 μB/f.u.
Space group: Immm (71)
DOS(E_F): 0.3364 states/eV/atom

***

[10]
VASP calculation (PBE-GGA) on a relaxed structure of AlSnPd2.

Geometry as POSCAR:
```
AlSnPd2
1.0
4.510 0.000 0.000
0.000 4.510 0.000
0.000 0.000 3.285
Al Sn Pd
1 1 2
Direct
0.000 0.000 0.000
0.500 0.500 0.000
0.000 0.500 0.500
0.500 0.000 0.500
```

Results
Magnetic moment: 0.00 μB/f.u.
Space group: P4/mmm (123)
DOS(E_F): 0.2182 states/eV/atom

***

[11]
VASP calculation (PBE-GGA) on a relaxed structure of AlSnPd4.

Geometry as POSCAR:
```
AlSnPd4
1.0
7.197 0.000 0.000
0.000 3.208 0.000
0.000 0.000 16.840
Al Sn Pd
4 4 16
Direct
0.250 0.250 0.054
0.250 0.750 0.554
0.750 0.250 0.446
0.750 0.750 0.946
0.232 0.250 0.814
0.268 0.750 0.314
0.732 0.250 0.686
0.768 0.750 0.186
0.023 0.750 0.433
0.046 0.750 0.705
0.116 0.750 0.946
0.136 0.750 0.159
0.364 0.250 0.659
0.384 0.250 0.446
0.454 0.250 0.205
0.477 0.250 0.933
0.523 0.750 0.067
0.546 0.750 0.795
0.616 0.750 0.554
0.636 0.750 0.341
0.864 0.250 0.841
0.884 0.250 0.054
0.954 0.250 0.295
0.977 0.250 0.567
```

Results
Magnetic moment: 0.00 μB/f.u.
Space group: Pnma (62)
DOS(E_F): 0.4297 states/eV/atom

***

[12]
VASP calculation (PBE-GGA) on a relaxed structure of AlSnPd2.

Geometry as POSCAR:
```
AlSnPd2
1.0
3.135 0.000 0.000
0.000 3.135 0.000
0.000 0.000 6.854
Al Sn Pd
1 1 2
Direct
0.000 0.000 0.000
0.000 0.000 0.500
0.500 0.500 0.210
0.500 0.500 0.790
```

Results
Magnetic moment: 0.00 μB/f.u.
Space group: P4/mmm (123)
DOS(E_F): 0.2819 states/eV/atom

***

So what do the calculations give for total energy? Going down the list: -46.27; -68.93; -50.75; -35.29; -51.71; -39.71; -55.39; -42.30; -58.95; -20.28; -129.64; -20.65 eV/cell.